No. 1
Computed, not measured: a relaxed CdIn3 crystal at the GGA-PBE level of DFT.

Geometry as POSCAR:
```
CdIn3
1.0
6.707 0.000 0.000
-3.354 5.809 0.000
0.000 0.000 10.731
Cd In
4 12
Cartesian
0.000 0.000 0.000
0.000 0.000 5.366
0.000 3.872 2.683
3.354 1.936 8.048
-1.677 2.904 0.000
-1.677 2.904 5.366
0.000 1.929 8.048
-1.683 4.844 8.048
1.671 0.965 2.683
3.354 0.000 0.000
3.354 0.000 5.366
1.677 2.904 0.000
1.677 2.904 5.366
1.683 4.844 8.048
5.036 0.965 2.683
3.354 3.879 2.683
```

Results
**Symmetry**: P6_3/mmc, No. 194
**Energy relative to the elements**: 3 kJ/mol of atoms
**Fermi-level density of states**: 0.346 states/eV per atom

No. 2
Computed, not measured: a relaxed Cd2In3 crystal at the GGA-PBE level of DFT.

Geometry as POSCAR:
```
Cd2In3
1.0
4.946 0.000 0.000
-2.473 4.284 0.000
0.000 0.000 6.586
Cd In
2 3
Cartesian
0.000 2.856 2.090
2.473 1.428 4.496
0.000 0.000 3.293
0.000 2.856 5.577
2.473 1.428 1.009
```

Results
**Symmetry**: P-3m1, No. 164
**Energy relative to the lowest polymorph listed for this composition**: 0.0541 eV/atom
**Energy relative to the elements**: 7 kJ/mol of atoms
**Fermi-level density of states**: 0.494 states/eV per atom

No. 3
Computed, not measured: a relaxed Cd8In3 crystal at the GGA-PBE level of DFT.

Geometry as POSCAR:
```
Cd8In3
1.0
5.022 2.900 3.459
-5.022 2.900 3.459
0.000 -5.799 3.459
Cd In
8 3
Cartesian
0.000 0.000 1.443
-1.969 -0.245 4.096
1.197 -1.583 4.096
-0.773 -1.828 6.280
0.773 1.828 4.096
-1.197 1.583 6.280
1.969 0.245 6.280
0.000 0.000 8.933
-5.022 0.000 5.188
-2.511 1.450 1.729
2.511 1.450 1.729
```

Results
**Symmetry**: R-3, No. 148
**Energy relative to the lowest polymorph listed for this composition**: 0.0883 eV/atom
**Energy relative to the elements**: 13 kJ/mol of atoms
**Fermi-level density of states**: 0.439 states/eV per atom

No. 4
Computed, not measured: a relaxed Cd17In12 crystal at the GGA-PBE level of DFT.

Geometry as POSCAR:
```
Cd17In12
1.0
-5.669 5.669 5.669
5.669 -5.669 5.669
5.669 5.669 -5.669
Cd In
17 12
Cartesian
0.000 0.000 0.000
1.858 1.858 -1.858
5.010 1.559 -1.559
1.858 -1.858 1.858
5.010 -1.559 1.559
6.327 1.559 1.559
1.559 5.010 -1.559
1.559 -1.559 5.010
-1.858 1.858 1.858
4.110 4.110 0.659
4.110 0.659 4.110
-1.559 5.010 1.559
-1.559 1.559 5.010
3.811 3.811 3.811
1.559 6.327 1.559
1.559 1.559 6.327
0.659 4.110 4.110
8.021 1.105 -1.105
8.021 -1.105 1.105
4.563 4.563 -2.352
3.317 1.105 1.105
4.563 -2.352 4.563
1.105 3.317 1.105
1.105 1.105 3.317
1.105 8.021 -1.105
1.105 -1.105 8.021
-1.105 8.021 1.105
-2.352 4.563 4.563
-1.105 1.105 8.021
```

Results
**Symmetry**: I-43m, No. 217
**Energy relative to the elements**: 6 kJ/mol of atoms
**Fermi-level density of states**: 0.398 states/eV per atom

No. 5
Computed, not measured: a relaxed Cd2In3 crystal at the GGA-PBE level of DFT.

Geometry as POSCAR:
```
Cd2In3
1.0
1.743 1.007 12.234
-1.743 1.007 12.234
0.000 -2.013 12.234
Cd In
2 3
Cartesian
0.000 0.000 3.687
0.000 0.000 33.013
0.000 0.000 10.931
0.000 0.000 18.350
0.000 0.000 25.769
```

Results
**Symmetry**: R-3m, No. 166
**Energy relative to the lowest polymorph listed for this composition**: 0.0000 eV/atom
**Energy relative to the elements**: 2 kJ/mol of atoms
**Fermi-level density of states**: 0.322 states/eV per atom

No. 6
Computed, not measured: a relaxed Cd3In crystal at the GGA-PBE level of DFT.

Geometry as POSCAR:
```
Cd3In
1.0
3.333 0.000 0.000
0.000 4.999 0.000
-1.374 0.000 5.891
Cd In
3 1
Cartesian
0.000 0.000 0.000
1.111 2.500 1.431
0.848 2.500 4.460
-0.687 0.000 2.945
```

Results
**Symmetry**: P2/m, No. 10
**Energy relative to the elements**: 5 kJ/mol of atoms
**Fermi-level density of states**: 0.215 states/eV per atom

No. 7
Computed, not measured: a relaxed CdIn2 crystal at the GGA-PBE level of DFT.

Geometry as POSCAR:
```
CdIn2
1.0
-1.656 1.656 7.060
1.656 -1.656 7.060
1.656 1.656 -7.060
Cd In
1 2
Cartesian
0.000 0.000 0.000
0.000 0.000 4.773
0.000 0.000 9.346
```

Results
**Symmetry**: I4/mmm, No. 139
**Energy relative to the elements**: 2 kJ/mol of atoms
**Fermi-level density of states**: 0.241 states/eV per atom

No. 8
Computed, not measured: a relaxed Cd3In crystal at the GGA-PBE level of DFT.

Geometry as POSCAR:
```
Cd3In
1.0
3.650 0.000 0.000
0.000 3.650 0.000
0.000 0.000 7.394
Cd In
3 1
Cartesian
0.000 0.000 0.000
1.825 1.825 1.768
1.825 1.825 5.625
0.000 0.000 3.697
```

Results
**Symmetry**: P4/mmm, No. 123
**Energy relative to the elements**: 6 kJ/mol of atoms
**Fermi-level density of states**: 0.460 states/eV per atom

- Fermi-level density of states of number 7 (CdIn2)?
  0.241 states/eV per atom

- Which value of Fermi-level density of states does entry 5 give?
  0.322 states/eV per atom